Computed, not measured: EuNpSb2 after structural relaxation at the PBE level of DFT.

Computed properties:
V ... 112.0 Å³/cell
Uncorrected formation energy ... -0.494 eV/atom
Crystal system ... tetragonal
Space-group type ... P4/mmm (123)
E above lowest polymorph ... 0 meV/atom

a b c (Å): 3.669 3.669 8.324
angles (deg): 90.00 90.00 90.00
Fractional positions:
Eu 0.000 0.000 0.000
Np 0.000 0.000 0.500
Sb 0.500 0.500 0.260
Sb 0.500 0.500 0.740

=====

Computed, not measured: La5Sb4P after structural relaxation at the PBE level of DFT.

Computed properties:
V ... 336.2 Å³/cell
Uncorrected formation energy ... -1.301 eV/atom
Crystal system ... tetragonal
Space-group type ... I4/mmm (139)

a b c (Å): 16.417 16.417 16.417
angles (deg): 164.00 164.00 22.71
Fractional positions:
La 0.000 0.000 0.000
La 0.200 0.200 0.000
La 0.406 0.406 0.000
La 0.594 0.594 0.000
La 0.800 0.800 0.000
Sb 0.099 0.099 0.000
Sb 0.302 0.302 0.000
Sb 0.698 0.698 0.000
Sb 0.901 0.901 0.000
P 0.500 0.500 0.000